Entry 1:
This record from Alexandria describes a geometry-optimized Te2RuRh structure. The functional is GGA-PBE.

Values from the calculation:
SG = I-42d, No. 122
energy above the most stable polymorph in this dataset = 180 meV/atom
crystal system = tetragonal
energy relative to the elements, uncorrected = 0.10 eV/atom

```
Te2RuRh
1.0
-0.424 -5.869 -0.738
3.617 0.329 -4.687
6.219 -3.546 0.799
Ru Te Rh
2 4 2
Cartesian
5.716 -2.994 -3.300
1.597 -2.770 -2.713
7.446 -7.508 -4.132
3.761 -1.435 -2.825
1.743 -4.493 -0.845
5.874 -4.736 -1.451
3.696 -6.092 -1.326
0.000 0.000 0.000
```

---

Entry 2:
This record from Alexandria describes a geometry-optimized TeRuRh2 structure. The functional is GGA-PBE.

Values from the calculation:
SG = Cm, No. 8
crystal system = monoclinic
energy relative to the elements, uncorrected = 0.19 eV/atom

```
TeRuRh2
1.0
4.725 0.005 0.026
3.743 2.883 0.026
0.994 0.339 4.736
Ru Rh Te
1 2 1
Cartesian
4.686 1.599 2.277
2.350 0.802 1.236
0.032 0.011 0.057
7.123 2.430 3.612
```

---

Entry 3:
This record from Alexandria describes a geometry-optimized Te2RuRh structure. The functional is GGA-PBE.

Values from the calculation:
SG = Cm, No. 8
energy above the most stable polymorph in this dataset = 123 meV/atom
crystal system = monoclinic
energy relative to the elements, uncorrected = 0.04 eV/atom

```
Te2RuRh
1.0
-1.215 3.143 -3.235
-0.793 0.134 -4.602
-6.179 -0.939 0.160
Te Ru Rh
2 1 1
Cartesian
-5.443 -0.763 0.001
-2.834 0.401 -1.759
-6.069 1.754 -5.737
-4.114 1.176 -3.860
```